[1]
HgSb2P | SCAN | single point on PBEsol structure

Crystal system   orthorhombic
Polymorph energy (0 for the lowest one)   259 meV/atom
Space-group type   Cmm2
Raw formation energy   0.4505 eV per atom

Lattice parameters (Å, degrees): 3.666 5.400 9.282 90.00 90.00 90.00
Sites, in units of the cell vectors:
1 Hg 0.000 0.000 0.000
2 Hg 0.500 0.500 0.000
3 Sb 0.000 0.000 0.435
4 Sb 0.000 0.500 0.734
5 Sb 0.500 0.000 0.734
6 Sb 0.500 0.500 0.435
7 P 0.000 0.500 0.227
8 P 0.500 0.000 0.227

[2]
HgSb2P | SCAN | single point on PBEsol structure

Crystal system   monoclinic
Polymorph energy (0 for the lowest one)   0 meV/atom
Space-group type   P2/m
Raw formation energy   0.1917 eV per atom

Lattice parameters (Å, degrees): 2.967 3.876 8.422 90.00 90.35 90.00
Sites, in units of the cell vectors:
1 Hg 0.000 0.000 0.000
2 Sb 0.006 0.500 0.729
3 Sb 0.994 0.500 0.271
4 P 0.000 0.000 0.500

[3]
Sc2HgP | SCAN | single point on PBEsol structure

Crystal system   tetragonal
Polymorph energy (0 for the lowest one)   225 meV/atom
Space-group type   P4/mmm
Calculated formation energy   -20.06 kcal/mol of atoms

Lattice parameters (Å, degrees): 3.374 3.374 6.523 90.00 90.00 90.00
Sites, in units of the cell vectors:
1 Sc 0.000 0.000 0.218
2 Sc 0.000 0.000 0.782
3 Hg 0.500 0.500 0.500
4 P 0.500 0.500 0.000

[4]
Sc2HgP | SCAN | single point on PBEsol structure

Crystal system   trigonal
Polymorph energy (0 for the lowest one)   0 meV/atom
Space-group type   R-3m
Calculated formation energy   -25.25 kcal/mol of atoms

Lattice parameters (Å, degrees): 3.613 3.613 21.690 90.00 90.00 120.00
Sites, in units of the cell vectors:
1 Sc 0.000 0.000 0.235
2 Sc 0.000 0.000 0.765
3 Sc 0.333 0.667 0.432
4 Sc 0.333 0.667 0.902
5 Sc 0.667 0.333 0.098
6 Sc 0.667 0.333 0.568
7 Hg 0.000 0.000 0.000
8 Hg 0.333 0.667 0.667
9 Hg 0.667 0.333 0.333
10 P 0.000 0.000 0.500
11 P 0.333 0.667 0.167
12 P 0.667 0.333 0.833

[5]
Sc2HgP | SCAN | single point on PBEsol structure

Crystal system   trigonal
Polymorph energy (0 for the lowest one)   60 meV/atom
Space-group type   R3m
Calculated formation energy   -23.87 kcal/mol of atoms

Lattice parameters (Å, degrees): 3.609 3.609 21.820 90.00 90.00 120.00
Sites, in units of the cell vectors:
1 Sc 0.000 0.000 0.000
2 Sc 0.000 0.000 0.198
3 Sc 0.333 0.667 0.667
4 Sc 0.333 0.667 0.865
5 Sc 0.667 0.333 0.333
6 Sc 0.667 0.333 0.531
7 Hg 0.000 0.000 0.431
8 Hg 0.333 0.667 0.098
9 Hg 0.667 0.333 0.765
10 P 0.000 0.000 0.600
11 P 0.333 0.667 0.266
12 P 0.667 0.333 0.933

[6]
Sc2HgP | SCAN | single point on PBEsol structure

Crystal system   orthorhombic
Polymorph energy (0 for the lowest one)   265 meV/atom
Space-group type   Cmmm
Calculated formation energy   -19.14 kcal/mol of atoms

Lattice parameters (Å, degrees): 4.159 4.927 7.403 90.00 90.00 90.00
Sites, in units of the cell vectors:
1 Sc 0.000 0.000 0.213
2 Sc 0.000 0.000 0.787
3 Sc 0.500 0.500 0.213
4 Sc 0.500 0.500 0.787
5 Hg 0.000 0.500 0.500
6 Hg 0.500 0.000 0.500
7 P 0.000 0.500 0.000
8 P 0.500 0.000 0.000

[7]
Sc2HgP | SCAN | single point on PBEsol structure

Crystal system   cubic
Polymorph energy (0 for the lowest one)   1136 meV/atom
Space-group type   F-43m
Calculated formation energy   0.94 kcal/mol of atoms

Lattice parameters (Å, degrees): 6.759 6.759 6.759 90.00 90.00 90.00
Sites, in units of the cell vectors:
1 Sc 0.000 0.000 0.000
2 Sc 0.000 0.500 0.500
3 Sc 0.250 0.250 0.250
4 Sc 0.250 0.750 0.750
5 Sc 0.500 0.000 0.500
6 Sc 0.500 0.500 0.000
7 Sc 0.750 0.250 0.750
8 Sc 0.750 0.750 0.250
9 Hg 0.000 0.000 0.500
10 Hg 0.000 0.500 0.000
11 Hg 0.500 0.000 0.000
12 Hg 0.500 0.500 0.500
13 P 0.250 0.250 0.750
14 P 0.250 0.750 0.250
15 P 0.750 0.250 0.250
16 P 0.750 0.750 0.750

[8]
HgPSe | SCAN | single point on PBEsol structure

Crystal system   trigonal
Space-group type   P3m1
Raw formation energy   0.3398 eV per atom

Lattice parameters (Å, degrees): 3.708 3.708 5.127 90.00 90.00 120.00
Sites, in units of the cell vectors:
1 Hg 0.000 0.000 0.000
2 P 0.333 0.667 0.676
3 Se 0.667 0.333 0.385

DOS(E_F), respectively: 4.176; 1.890; 2.855; 5.557; 7.829; 5.527; 14.804; 1.341 states/eV/cell.